This record from the Alexandria database describes an optimized crystal structure of BeNiIO2. The functional is PBE with a Hubbard U.

The structure in CIF format:
```
data_BeNiIO2
_chemical_formula_sum 'Be1 Ni1 I1 O2'
_symmetry_space_group_name_H-M 'P 4/m m m'
_symmetry_Int_Tables_number 123
_symmetry_space_group_name_Hall '-P 4 2'
_cell_length_a 3.623
_cell_length_b 3.623
_cell_length_c 6.536
_cell_angle_alpha 90.00
_cell_angle_beta 90.00
_cell_angle_gamma 90.00
loop_
_atom_site_label
_atom_site_type_symbol
_atom_site_fract_x
_atom_site_fract_y
_atom_site_fract_z
_atom_site_occupancy
Be1 Be 0.000 0.000 0.000 1
Ni1 Ni 0.500 0.500 0.500 1
I1 I 0.500 0.500 0.000 1
O1 O 0.000 0.500 0.500 1
```

The value obtained for the density of states at the Fermi level is 1.958 states/eV/cell. The value obtained for the calculated total energy is -0.23900 Ry/atom. The calculation puts the relative energy among the computed polymorphs at 2.25 eV per formula unit.